Entry 1:
# KDyAgF6

A relaxed structure of KDyAgF6 (PBE-GGA, the Alexandria database).

Cell lengths 5.4528, 5.9578, 5.9611 Å; angles 117.03, 90.84, 90.86 degrees
Space group P1 (No. 1)
Asymmetric unit:
K: 0.0000 0.0000 0.0000 [1 per cell]
Dy: 0.5004 0.3313 0.6688 [1 per cell]
Ag: 0.5005 0.6712 0.3285 [1 per cell]
F: 0.2596 0.0392 0.6487 [1 per cell]
F: 0.2969 0.3711 0.3561 [1 per cell]
F: 0.3087 0.6338 0.9902 [1 per cell]
F: 0.6924 0.0100 0.3665 [1 per cell]
F: 0.7042 0.6436 0.6281 [1 per cell]
F: 0.7424 0.3527 0.9603 [1 per cell]

- E_form (uncorrected) (eV per atom) = -2.804
- VASP energy (eV/atom) = -5.00



Entry 2:
# PuNpCuOs

A relaxed structure of PuNpCuOs (PBE-GGA, the Alexandria database).

Cell lengths 6.4423, 6.4423, 6.4423 Å; angles 90.00, 90.00, 90.00 degrees
Space group F-43m (No. 216)
Asymmetric unit:
Pu: 0.0000 0.0000 0.0000 [4 per cell]
Np: 0.2500 0.2500 0.2500 [4 per cell]
Cu: 0.2500 0.2500 0.7500 [4 per cell]
Os: 0.0000 0.0000 0.5000 [4 per cell]

- VASP energy (eV/atom) = -10.59
- DOS at the Fermi energy (states/eV/cell) = 45.0
- energy relative to the elements (eV per atom) = 0.0630



> What is the VASP energy in the second record?

-10.59 eV/atom